1.
Below is a PBEsol-optimized structure of BeSnIr3, with properties calculated at the meta-GGA SCAN level.

Output
VASP energy = -241.961 eV for the cell shown
Space group = Pm-3m, No. 221
Formation energy = 224 kJ per mole of atoms
Total magnetization = 0.00 μB/cell

```
BeSnIr3
1.0
-4.652 0.673 0.775
-0.955 -1.524 -4.412
-0.376 -4.464 1.623
Be Ir Sn
1 3 1
direct
0.500 0.500 0.500
0.000 0.500 0.000
0.000 0.000 0.500
0.500 0.000 0.000
0.000 0.000 0.000
```

=====

2.
Below is a PBEsol-optimized structure of BeSn3Ir, with properties calculated at the meta-GGA SCAN level.

Output
VASP energy = -178.538 eV for the cell shown
Space group = Pm-3m, No. 221
Formation energy = 90 kJ per mole of atoms
Total magnetization = 0.00 μB/cell

```
BeSn3Ir
1.0
-2.173 2.697 -3.126
-3.942 -0.305 2.477
1.227 3.795 2.420
Be Ir Sn
1 1 3
direct
0.000 0.000 0.000
0.500 0.500 0.500
0.000 0.500 0.000
0.000 0.000 0.500
0.500 0.000 0.000
```

=====

3.
Below is a PBEsol-optimized structure of SrBe2Ir, with properties calculated at the meta-GGA SCAN level.

Output
VASP energy = -103.814 eV for the cell shown
Space group = C2/m, No. 12
ΔE to the lowest computed polymorph = 0.0000 eV/atom
Formation energy = -42 kJ per mole of atoms
Total magnetization = 0.00 μB/cell

```
SrBe2Ir
1.0
-3.032 2.482 0.305
-0.201 -3.054 -2.478
-0.894 -1.746 5.331
Sr Ir Be
1 1 2
direct
0.000 0.000 0.500
0.500 0.000 0.000
0.816 0.631 0.948
0.184 0.369 0.052
```

=====

4.
Below is a PBEsol-optimized structure of Sr2BeIr, with properties calculated at the meta-GGA SCAN level.

Output
VASP energy = -121.414 eV for the cell shown
Space group = Cm, No. 8
Formation energy = -34 kJ per mole of atoms
Total magnetization = 0.07 μB/cell

```
Sr2BeIr
1.0
-3.460 1.022 -1.743
0.014 -2.581 3.065
0.320 7.498 3.762
Sr Ir Be
2 1 1
direct
0.043 0.086 0.122
0.207 0.414 0.628
0.792 0.583 0.375
0.458 0.917 0.375
```

=====

5.
Below is a PBEsol-optimized structure of Sr2BeIr, with properties calculated at the meta-GGA SCAN level.

Output
VASP energy = -120.670 eV for the cell shown
Space group = Imm2, No. 44
Formation energy = -16 kJ per mole of atoms
Total magnetization = 0.00 μB/cell

```
Sr2BeIr
1.0
-2.781 -1.428 -2.388
-0.373 -3.509 2.533
-3.188 5.621 3.591
Sr Ir Be
2 1 1
direct
0.005 0.005 0.009
0.750 0.250 0.500
0.156 0.656 0.312
0.589 0.589 0.179
```

=====

6.
Below is a PBEsol-optimized structure of SrBe2Ir, with properties calculated at the meta-GGA SCAN level.

Output
VASP energy = -102.572 eV for the cell shown
Space group = Pm, No. 6
ΔE to the lowest computed polymorph = 0.3105 eV/atom
Formation energy = -12 kJ per mole of atoms
Total magnetization = 0.00 μB/cell

```
SrBe2Ir
1.0
-2.135 -1.832 2.548
3.615 -1.641 1.849
0.095 3.845 2.845
Sr Ir Be
1 1 2
direct
0.500 0.285 0.750
0.000 0.491 0.256
0.000 0.990 0.236
0.500 0.733 0.258
```

=====

7.
Below is a PBEsol-optimized structure of TaBeIr2, with properties calculated at the meta-GGA SCAN level.

Output
VASP energy = -215.970 eV for the cell shown
Space group = Pmmm, No. 47
Formation energy = -68 kJ per mole of atoms
Total magnetization = 0.00 μB/cell

```
TaBeIr2
1.0
-0.649 -0.868 2.644
-2.630 -1.705 -1.205
3.302 -4.598 -0.699
Be Ir Ta
1 2 1
direct
0.500 0.500 0.500
0.000 0.000 0.729
0.000 0.000 0.271
0.500 0.500 0.000
```

=====

8.
Below is a PBEsol-optimized structure of TaBeIr2, with properties calculated at the meta-GGA SCAN level.

Output
VASP energy = -216.258 eV for the cell shown
Space group = P4/mmm, No. 123
Formation energy = -75 kJ per mole of atoms
Total magnetization = 0.00 μB/cell

```
TaBeIr2
1.0
2.849 0.000 0.000
0.000 2.849 0.000
0.000 0.000 6.520
Be Ir Ta
1 2 1
direct
0.500 0.500 0.500
0.000 0.000 0.713
0.000 0.000 0.287
0.500 0.500 0.000
```

=====

no.,Fermi-level density of states (states/eV/cell)
1,4.5
2,3.5
3,2.0
4,2.5
5,2.0
6,1.6
7,1.4
8,2.1